Record 1
# Cd2TeRh (PBE-GGA, optimized geometry)
data_Cd2TeRh
_space_group_name_H-M_alt 'I m m 2'
_space_group_IT_number 44
_cell_length_a 3.134
_cell_length_b 4.635
_cell_length_c 12.685
_cell_angle_alpha 90.00
_cell_angle_beta 90.00
_cell_angle_gamma 90.00
loop_
_space_group_symop_operation_xyz
'x,y,z'
'-x,-y,z'
'-x,y,z'
'x,-y,z'
'x+1/2,y+1/2,z+1/2'
'-x+1/2,-y+1/2,z+1/2'
'-x+1/2,y+1/2,z+1/2'
'x+1/2,-y+1/2,z+1/2'
loop_
_atom_site_label
_atom_site_type_symbol
_atom_site_fract_x
_atom_site_fract_y
_atom_site_fract_z
_atom_site_occupancy
Cd1 Cd 0.000 0.000 0.000 1
Cd2 Cd 0.000 0.500 0.164 1
Te1 Te 0.000 0.500 0.808 1
Rh1 Rh 0.000 0.000 0.478 1
# total moment	0.00	μB per cell
# energy relative to the elements, uncorrected	-0.75	eV per formula unit

***

Record 2
# AlVFeCo2 (PBE-GGA, optimized geometry)
data_AlVFeCo2
_space_group_name_H-M_alt 'P 4/m m m'
_space_group_IT_number 123
_space_group_name_Hall '-P 4 2'
_cell_length_a 4.126
_cell_length_b 4.126
_cell_length_c 4.621
_cell_angle_alpha 90.00
_cell_angle_beta 90.00
_cell_angle_gamma 90.00
loop_
_atom_site_label
_atom_site_type_symbol
_atom_site_fract_x
_atom_site_fract_y
_atom_site_fract_z
_atom_site_occupancy
Al1 Al 0.000 0.000 0.000 1
V1 V 0.000 0.000 0.500 1
Fe1 Fe 0.500 0.500 0.000 1
Co1 Co 0.000 0.500 0.500 1
# total moment	3.52	μB per cell
# ΔE_f	1.146	eV per atom

***

Record 3
# Pm4Ge2Se (PBE-GGA, optimized geometry)
data_Pm4Ge2Se
_space_group_name_H-M_alt 'P 1 21/m 1'
_space_group_IT_number 11
_cell_length_a 6.756
_cell_length_b 6.589
_cell_length_c 9.349
_cell_angle_alpha 90.00
_cell_angle_beta 108.92
_cell_angle_gamma 90.00
loop_
_space_group_symop_operation_xyz
'x,y,z'
'-x,-y,-z'
'-x,y+1/2,-z'
'x,-y+1/2,z'
loop_
_atom_site_label
_atom_site_type_symbol
_atom_site_fract_x
_atom_site_fract_y
_atom_site_fract_z
_atom_site_occupancy
Pm1 Pm 0.002 0.001 0.247 1
Pm2 Pm 0.433 0.750 0.560 1
Pm3 Pm 0.457 0.750 0.153 1
Ge1 Ge 0.188 0.250 0.544 1
Ge2 Ge 0.190 0.250 0.045 1
Se1 Se 0.371 0.750 0.841 1
# energy above the most stable polymorph in this dataset	0.269	eV per atom
# total moment	0.00	μB per cell
# energy relative to the elements, uncorrected	-5.55	eV per formula unit

***

Record 4
# InO (PBE-GGA, optimized geometry)
data_InO
_space_group_name_H-M_alt 'I m m m'
_space_group_IT_number 71
_space_group_name_Hall '-I 2 2'
_cell_length_a 3.967
_cell_length_b 3.988
_cell_length_c 9.593
_cell_angle_alpha 90.00
_cell_angle_beta 90.00
_cell_angle_gamma 90.00
loop_
_atom_site_label
_atom_site_type_symbol
_atom_site_fract_x
_atom_site_fract_y
_atom_site_fract_z
_atom_site_occupancy
In1 In 0.000 0.000 0.146 1
O1 O 0.000 0.500 0.249 1
# total moment	0.00	μB per cell
# energy relative to the elements, uncorrected	-2.66	eV per formula unit